1.
La3Si2HgPd9 | PBE | optimized geometry

**Formation energy without anion corrections**: -0.66 eV per atom

Cell: 5.8870 5.8870 11.1011 Å, 90.00 90.00 120.00°
Element x y z (fractional)
1 Si 0.6667 0.3333 0.8439
2 Si 0.3333 0.6667 0.1561
3 Pd 0.5000 0.0000 0.0000
4 Pd 0.5000 0.5000 0.0000
5 Pd 0.8420 0.1580 0.7070
6 Pd 0.0000 0.5000 0.0000
7 Pd 0.1580 0.3159 0.2930
8 Pd 0.1580 0.8420 0.2930
9 Pd 0.8420 0.6841 0.7070
10 Pd 0.3159 0.1580 0.7070
11 Pd 0.6841 0.8420 0.2930
12 La 0.0000 0.0000 0.0000
13 La 0.6667 0.3333 0.2759
14 La 0.3333 0.6667 0.7241
15 Hg 0.0000 0.0000 0.5000

2.
LaSmHgPd | PBE | optimized geometry

**Calculated formation energy**: -2.3 eV/f.u.

Cell: 5.2994 5.2994 5.2994 Å, 60.00 60.00 60.00°
Element x y z (fractional)
1 Sm 0.2500 0.2500 0.2500
2 Hg 0.5000 0.5000 0.5000
3 Pd 0.0000 0.0000 0.0000
4 La 0.7500 0.7500 0.7500

Number 1: uncorrected energy -82.51 eV for the cell shown, N(E_F) 7.21 states/eV per cell. Number 2: uncorrected energy -17.45 eV for the cell shown, N(E_F) 3.55 states/eV per cell.